# 1
A geometry-optimized Y2ScO structure. Source: Alexandria, functional PBE.

Structure (POSCAR):
```
Y2ScO
1.0
1.717 0.992 8.856
-1.717 0.992 8.856
0.000 -1.983 8.856
Y Sc O
2 1 1
direct
0.116 0.116 0.116 Y
0.884 0.884 0.884 Y
0.000 0.000 0.000 Sc
0.500 0.500 0.500 O
```

Values from the calculation:
Uncorrected energy   -28.87 eV/cell
Energy relative to the elements, uncorrected   -1.16 eV/atom



# 2
A geometry-optimized NdYHg6 structure. Source: Alexandria, functional PBE.

Structure (POSCAR):
```
NdYHg6
1.0
4.713 0.000 0.000
0.000 4.713 0.000
0.000 0.000 9.111
Nd Y Hg
1 1 6
direct
0.000 0.000 0.000 Nd
0.000 0.000 0.500 Y
0.000 0.500 0.255 Hg
0.000 0.500 0.745 Hg
0.500 0.000 0.255 Hg
0.500 0.000 0.745 Hg
0.500 0.500 0.000 Hg
0.500 0.500 0.500 Hg
```

Values from the calculation:
E_form   -0.34 eV per atom
Uncorrected energy   -15.75 eV/cell



# 3
A geometry-optimized LaPrTe3 structure. Source: Alexandria, functional PBE.

Structure (POSCAR):
```
LaPrTe3
1.0
8.877 -2.419 0.000
8.877 2.419 0.000
-5.150 0.000 8.599
La Pr Te
2 2 6
direct
0.114 0.114 0.274 La
0.886 0.886 0.726 La
0.343 0.343 0.236 Pr
0.657 0.657 0.764 Pr
0.127 0.127 0.957 Te
0.241 0.241 0.659 Te
0.451 0.451 0.614 Te
0.549 0.549 0.386 Te
0.759 0.759 0.341 Te
0.873 0.873 0.043 Te
```

Values from the calculation:
Uncorrected energy   -52.90 eV/cell
Energy relative to the elements, uncorrected   -1.46 eV/atom